Entry 1:
Computed, not measured: an optimized crystal structure of Sb4Se3 at the PBE-GGA level of DFT.

a b c (Å): 5.2891 5.2891 8.4022
angles (deg): 90.00 90.00 120.00
With the nearest neighbours (Å) after each atom.
Positions (direct):
Sb  0.0000  0.0000  0.1747  1 Sb 2.94
Sb  0.0000  0.0000  0.8253  1 Sb 2.94
Sb  0.3333  0.6667  0.0000  9 Sb 3.05-3.39
Sb  0.6667  0.3333  0.0000  9 Sb 3.05-3.39
Se  0.0000  0.5000  0.5000  4 Se 2.64
Se  0.5000  0.0000  0.5000  4 Se 2.64
Se  0.5000  0.5000  0.5000  4 Se 2.64

Calculated values
**Space-group type**: P6/mmm


Entry 2:
Computed, not measured: an optimized crystal structure of Sb5Se at the PBE-GGA level of DFT.

a b c (Å): 6.1995 6.1995 6.1995
angles (deg): 60.00 60.00 60.00
With the nearest neighbours (Å) after each atom.
Positions (direct):
Sb  0.0000  0.0000  0.0000  12 Sb 3.64, 4 Se 3.80
Sb  0.1310  0.6230  0.6230  6 Sb 3.05-3.15
Sb  0.6230  0.1310  0.6230  6 Sb 3.05-3.15
Sb  0.6230  0.6230  0.1310  6 Sb 3.05-3.15
Sb  0.6230  0.6230  0.6230  6 Sb 3.05-3.15
Se  0.2500  0.2500  0.2500  16 Sb 3.63-3.80

Calculated values
**Space-group type**: F-43m
**ΔE to the lowest computed polymorph**: 10.63 kcal/mol of atoms


Entry 3:
Computed, not measured: an optimized crystal structure of SbSe2 at the PBE-GGA level of DFT.

a b c (Å): 5.2643 5.2643 5.7644
angles (deg): 90.00 90.00 120.00
With the nearest neighbours (Å) after each atom.
Positions (direct):
Sb  0.3333  0.6667  0.2500  5 Se 2.88-3.04
Sb  0.6667  0.3333  0.7500  5 Se 2.88-3.04
Se  0.0000  0.0000  0.0000  2 Se 2.88
Se  0.0000  0.0000  0.5000  2 Se 2.88
Se  0.3333  0.6667  0.7500  5 Sb 2.88-3.04
Se  0.6667  0.3333  0.2500  5 Sb 2.88-3.04

Calculated values
**Space-group type**: P6_3/mmc


Entry 4:
Computed, not measured: an optimized crystal structure of Sb2Se at the PBE-GGA level of DFT.

a b c (Å): 5.7106 5.7106 8.0311
angles (deg): 95.58 95.58 43.30
With the nearest neighbours (Å) after each atom.
Positions (direct):
Sb  0.1452  0.1452  0.4715  2 Se 2.95, 4 Sb 3.06-3.26
Sb  0.2082  0.2082  0.8774  1 Se 2.67, 2 Sb 2.96
Sb  0.7918  0.7918  0.1226  1 Se 2.67, 2 Sb 2.96
Sb  0.8548  0.8548  0.5285  2 Se 2.95, 4 Sb 3.06-3.26
Se  0.4390  0.4390  0.7727  3 Sb 2.67-2.95
Se  0.5610  0.5610  0.2273  3 Sb 2.67-2.95

Calculated values
**Space-group type**: C2/m


Entry 5:
Computed, not measured: an optimized crystal structure of Sb2Se at the PBE-GGA level of DFT.

a b c (Å): 4.9849 4.9849 4.9849
angles (deg): 60.00 60.00 60.00
With the nearest neighbours (Å) after each atom.
Positions (direct):
Sb  0.2500  0.2500  0.2500  4 Se 3.05
Sb  0.7500  0.7500  0.7500  4 Se 3.05
Se  0.0000  0.0000  0.0000  8 Sb 3.05

Calculated values
**Space-group type**: Fm-3m


Entry 6:
Computed, not measured: an optimized crystal structure of SbSe3 at the PBE-GGA level of DFT.

a b c (Å): 15.3835 15.3835 15.3835
angles (deg): 165.73 165.73 20.24
With the nearest neighbours (Å) after each atom.
Positions (direct):
Sb  0.1616  0.1616  0.0000  4 Se 2.91
Sb  0.8384  0.8384  0.0000  4 Se 2.91
Se  0.0000  0.5000  0.5000  4 Se 2.70
Se  0.2500  0.7500  0.5000  4 Se 2.70
Se  0.3739  0.3739  0.0000  4 Sb 2.91
Se  0.5000  0.0000  0.5000  4 Se 2.70
Se  0.6261  0.6261  0.0000  4 Sb 2.91
Se  0.7500  0.2500  0.5000  4 Se 2.70

Calculated values
**Space-group type**: I4/mmm
**ΔE to the lowest computed polymorph**: 1.19 kcal/mol of atoms


Entry 7:
Computed, not measured: an optimized crystal structure of SbSe5 at the PBE-GGA level of DFT.

a b c (Å): 3.8073 11.8042 11.8042
angles (deg): 18.38 90.00 90.00
With the nearest neighbours (Å) after each atom.
Positions (direct):
Sb  0.0000  0.0000  0.0000  8 Se 2.92-3.16
Se  0.0000  0.3913  0.3913  4 Se 2.68
Se  0.0000  0.7101  0.7101  4 Se 2.71
Se  0.5000  0.2288  0.2288  4 Se 2.71
Se  0.5000  0.5503  0.5503  4 Sb 2.92
Se  0.5000  0.8940  0.8940  4 Se 2.68

Calculated values
**Space-group type**: Amm2
**ΔE to the lowest computed polymorph**: 1.02 kcal/mol of atoms


Entry 8:
Computed, not measured: an optimized crystal structure of SbSe2 at the PBE-GGA level of DFT.

a b c (Å): 5.7585 5.7585 7.9345
angles (deg): 102.28 102.28 43.24
With the nearest neighbours (Å) after each atom.
Positions (direct):
Sb  0.0000  0.0000  0.0000  1 Se 2.62
Sb  0.2188  0.2188  0.6392  4 Se 2.65-2.88
Se  0.2435  0.2435  0.9946  2 Sb 2.62-2.77
Se  0.4725  0.4725  0.7332  3 Sb 2.65-2.96
Se  0.5286  0.5286  0.2627  1 Se 2.40
Se  0.7511  0.7511  0.4074  1 Se 2.40

Calculated values
**Space-group type**: Cm


Entry 9:
Computed, not measured: an optimized crystal structure of Sb5Se8 at the PBE-GGA level of DFT.

a b c (Å): 8.4243 8.4243 8.4243
angles (deg): 60.00 60.00 60.00
With the nearest neighbours (Å) after each atom.
Positions (direct):
Sb  0.0000  0.0000  0.0000  4 Se 2.64
Sb  0.1517  0.6161  0.6161  6 Se 2.78-3.06
Sb  0.6161  0.1517  0.6161  6 Se 2.78-3.06
Sb  0.6161  0.6161  0.1517  6 Se 2.78-3.06
Sb  0.6161  0.6161  0.6161  6 Se 2.78-3.06
Se  0.3826  0.3826  0.3826  3 Sb 2.78
Se  0.3826  0.3826  0.8521  3 Sb 2.78
Se  0.3826  0.8521  0.3826  3 Sb 2.78
Se  0.3841  0.8720  0.8720  1 Sb 2.64
Se  0.8521  0.3826  0.3826  3 Sb 2.78
Se  0.8720  0.3841  0.8720  1 Sb 2.64
Se  0.8720  0.8720  0.3841  1 Sb 2.64
Se  0.8720  0.8720  0.8720  1 Sb 2.64

Calculated values
**Space-group type**: F-43m


Entry 10:
Computed, not measured: an optimized crystal structure of Sb2Se at the PBE-GGA level of DFT.

a b c (Å): 6.2233 6.2233 6.2233
angles (deg): 100.40 100.40 129.73
With the nearest neighbours (Å) after each atom.
Positions (direct):
Sb  0.1263  0.6263  0.7526  1 Sb 2.85
Sb  0.3737  0.1263  0.5000  1 Sb 2.85
Sb  0.6263  0.8737  0.5000  1 Sb 2.85
Sb  0.8737  0.3737  0.2474  1 Sb 2.85
Se  0.2500  0.2500  0.0000  2 Se 2.64
Se  0.7500  0.7500  0.0000  2 Se 2.64

Calculated values
**Space-group type**: I4/mcm


Entry 11:
Computed, not measured: an optimized crystal structure of Sb3Se4 at the PBE-GGA level of DFT.

a b c (Å): 6.5809 6.5809 4.8779
angles (deg): 90.00 90.00 120.00
With the nearest neighbours (Å) after each atom.
Positions (direct):
Sb  0.0000  0.5000  0.0000  4 Se 3.09, 4 Sb 3.29
Sb  0.5000  0.0000  0.0000  4 Se 3.09, 4 Sb 3.29
Sb  0.5000  0.5000  0.0000  4 Se 3.09, 4 Sb 3.29
Se  0.0000  0.0000  0.2729  1 Se 2.22
Se  0.0000  0.0000  0.7271  1 Se 2.22
Se  0.3333  0.6667  0.5000  6 Sb 3.09
Se  0.6667  0.3333  0.5000  6 Sb 3.09

Calculated values
**Space-group type**: P6/mmm


Entry 12:
Computed, not measured: an optimized crystal structure of Sb2Se at the PBE-GGA level of DFT.

a b c (Å): 6.0811 6.1483 6.3694
angles (deg): 83.17 72.73 77.86
With the nearest neighbours (Å) after each atom.
Positions (direct):
Sb  0.0000  0.0000  0.0000  1 Se 2.63, 1 Sb 2.94
Sb  0.0798  0.4638  0.3476  2 Se 2.64-2.70, 1 Sb 2.92
Sb  0.6633  0.7102  0.2281  3 Sb 2.89-2.94
Sb  0.7437  0.4339  0.8661  1 Se 2.62, 1 Sb 2.89
Se  0.3022  0.4221  0.9158  2 Sb 2.62-2.70
Se  0.9465  0.0731  0.4118  2 Sb 2.63-2.64

Calculated values
**Space-group type**: P1


The records above yield uncorrected energy values of -3.486 -3.544 -3.531 -3.856 -3.465 -3.571 -3.486 -3.836 -3.935 -3.610 -3.534 -3.945 eV per atom, respectively.
The records above yield formation energy (no corrections) values of 0.363 0.472 0.166 0.054 0.445 0.073 0.105 -0.139 -0.205 0.300 0.224 -0.035 eV/atom, respectively.